(1)
KCa2Cu after structural relaxation. Source: the Alexandria database, functional PBE.

Cell lengths 6.6148, 6.6148, 6.6148 Å; angles 135.59, 135.59, 64.61 degrees
Closest atoms and distances in Å follow each position.
Element x y z (fractional)
K: 0.7500 0.2500 0.5000  8 Ca 3.54-3.75, 4 Cu 3.75
Ca: 0.2500 0.7500 0.5000  4 K 3.54, 4 Ca 3.75, 4 Cu 3.75
Ca: 0.0000 0.0000 0.0000  4 Cu 3.54, 4 K 3.75, 4 Ca 3.75
Cu: 0.5000 0.5000 0.0000  8 Ca 3.54-3.75, 4 K 3.75

Values from the calculation:
The value obtained for the raw total energy is -1.931 eV per atom. The value obtained for the energy above the lowest structure with this stoichiometry is 321 meV per atom. The crystal system is tetragonal. As for the energy of formation from the pure elements: 0.368 eV per atom. Its space group is I-4m2, No. 119.

---

(2)
PaS5Br after structural relaxation. Source: the Alexandria database, functional PBE.

Cell lengths 7.1549, 8.1332, 10.8391 Å; angles 56.90, 93.16, 117.50 degrees
Closest atoms and distances in Å follow each position.
Element x y z (fractional)
S: 0.5699 0.2374 0.5602  1 S 2.04
S: 0.2134 0.3776 0.0965  1 S 2.05
Pa: 0.1728 0.0151 0.7524  4 S 2.50-2.73
Br: 0.0000 0.0000 0.5000  2 Pa 2.98
S: 0.2776 0.4235 0.6186  1 S 2.04
S: 0.7224 0.5765 0.3814  1 S 2.04
S: 0.4828 0.9431 0.8597  1 S 2.07
Br: 0.0000 0.0000 0.0000  2 Pa 2.93
S: 0.2347 0.6630 0.0583  2 S 2.05-2.07
S: 0.7866 0.6224 0.9035  1 S 2.05
S: 0.4301 0.7626 0.4398  1 S 2.04
Pa: 0.8272 0.9849 0.2476  4 S 2.50-2.73
S: 0.5172 0.0569 0.1403  1 S 2.07
S: 0.7653 0.3370 0.9417  2 S 2.05-2.07

Values from the calculation:
The value obtained for the raw total energy is -5.081 eV per atom. As for the uncorrected formation energy: -3.76 eV/f.u. The crystal system is triclinic. Its space group is P-1, No. 2.

---

(3)
BaEr4Tl3O12 after structural relaxation. Source: the Alexandria database, functional PBE.

Cell lengths 7.3236, 7.3236, 7.3236 Å; angles 109.47, 109.47, 109.47 degrees
Closest atoms and distances in Å follow each position.
Element x y z (fractional)
O: 0.1311 0.3070 0.8241  1 Tl 2.21, 2 Er 2.26
Tl: 0.5000 0.5000 0.0000  4 O 2.21
O: 0.5170 0.6930 0.8241  1 Tl 2.21, 2 Er 2.26
Er: 0.5000 0.5000 0.5000  6 O 2.26
Tl: 0.0000 0.5000 0.5000  4 O 2.21
O: 0.6930 0.1759 0.8689  1 Tl 2.21, 2 Er 2.26
O: 0.4830 0.3070 0.1759  1 Tl 2.21, 2 Er 2.26
O: 0.8241 0.5170 0.6930  1 Tl 2.21, 2 Er 2.26
O: 0.3070 0.8241 0.1311  1 Tl 2.21, 2 Er 2.26
Ba: 0.0000 0.0000 0.0000  12 O 2.99
Er: 0.0000 0.5000 0.0000  6 O 2.26
O: 0.3070 0.1759 0.4830  1 Tl 2.21, 2 Er 2.26
O: 0.6930 0.8241 0.5170  1 Tl 2.21, 2 Er 2.26
O: 0.8241 0.1311 0.3070  1 Tl 2.21, 2 Er 2.26
Er: 0.5000 0.0000 0.0000  6 O 2.26
Tl: 0.5000 0.0000 0.5000  4 O 2.21
O: 0.8689 0.6930 0.1759  1 Tl 2.21, 2 Er 2.26
O: 0.1759 0.4830 0.3070  1 Tl 2.21, 2 Er 2.26
O: 0.1759 0.8689 0.6930  1 Tl 2.21, 2 Er 2.26
Er: 0.0000 0.0000 0.5000  6 O 2.26

Values from the calculation:
The value obtained for the raw total energy is -6.602 eV per atom. As for the uncorrected formation energy: -45.26 eV/f.u. The crystal system is cubic. Its space group is Im-3, No. 204.

---

(4)
YCuSb2 after structural relaxation. Source: the Alexandria database, functional PBE.

Cell lengths 5.1476, 5.1476, 5.1476 Å; angles 60.00, 60.00, 60.00 degrees
Closest atoms and distances in Å follow each position.
Element x y z (fractional)
Sb: 0.0000 0.0000 0.0000  4 Sb 3.15, 4 Y 3.15
Cu: 0.5000 0.5000 0.5000  4 Sb 3.15, 4 Y 3.15
Y: 0.7500 0.7500 0.7500  4 Sb 3.15, 4 Cu 3.15
Sb: 0.2500 0.2500 0.2500  4 Sb 3.15, 4 Cu 3.15

Values from the calculation:
The value obtained for the raw total energy is -4.790 eV per atom. The value obtained for the energy above the lowest structure with this stoichiometry is 532 meV per atom. As for the uncorrected formation energy: -0.36 eV/f.u. The crystal system is cubic. Its space group is F-43m, No. 216.

---

(5)
BaTePt2 after structural relaxation. Source: the Alexandria database, functional PBE.

Cell lengths 7.7226, 4.9210, 4.0151 Å; angles 89.91, 58.81, 124.99 degrees
Closest atoms and distances in Å follow each position.
Element x y z (fractional)
Te: 0.0000 0.5000 0.5000  8 Pt 3.17-3.18, 2 Ba 3.30
Pt: 0.5000 0.0000 0.5000  4 Te 3.17-3.18, 4 Ba 3.17-3.18, 2 Pt 3.30
Ba: 0.5000 0.5000 0.0000  8 Pt 3.17-3.18, 2 Te 3.30
Pt: 0.0000 0.0000 0.0000  4 Ba 3.17-3.18, 4 Te 3.17-3.18, 2 Pt 3.30

Values from the calculation:
The value obtained for the raw total energy is -4.495 eV per atom. As for the uncorrected formation energy: -0.83 eV/f.u. The crystal system is monoclinic. Its space group is C2/m, No. 12.

---

(6)
Si2OsCl after structural relaxation. Source: the Alexandria database, functional PBE.

Cell lengths 4.6207, 4.6207, 4.6207 Å; angles 128.58, 128.58, 75.68 degrees
Closest atoms and distances in Å follow each position.
Element x y z (fractional)
Si: 0.0000 0.0000 0.0000  4 Cl 2.71, 4 Os 2.71, 4 Si 2.83
Os: 0.7500 0.2500 0.5000  8 Si 2.71, 4 Cl 2.83
Si: 0.5000 0.5000 0.0000  4 Os 2.71, 4 Cl 2.71, 4 Si 2.83
Cl: 0.2500 0.7500 0.5000  8 Si 2.71, 4 Os 2.83

Values from the calculation:
The value obtained for the raw total energy is -5.258 eV per atom. The value obtained for the energy above the lowest structure with this stoichiometry is 810 meV per atom. As for the uncorrected formation energy: 2.89 eV/f.u. The crystal system is tetragonal. Its space group is I4/mmm, No. 139.

---

(7)
La3Pm2HoSb6 after structural relaxation. Source: the Alexandria database, functional PBE.

Cell lengths 7.8669, 7.8669, 7.8563 Å; angles 99.61, 99.61, 120.00 degrees
Closest atoms and distances in Å follow each position.
Element x y z (fractional)
Sb: 0.4090 0.0799 0.2403  1 Ho 3.14, 2 Pm 3.18-3.19, 3 La 3.24-3.26
La: 0.1682 0.8318 0.5000  6 Sb 3.24-3.26
Pm: 0.3339 0.6661 0.0000  6 Sb 3.18-3.19
Sb: 0.0799 0.4090 0.2403  1 Ho 3.14, 2 Pm 3.18-3.19, 3 La 3.24-3.26
La: 0.5000 0.5000 0.5000  6 Sb 3.24-3.27
Sb: 0.2481 0.2481 0.7579  1 Ho 3.15, 2 Pm 3.19, 3 La 3.24-3.27
La: 0.8318 0.1682 0.5000  6 Sb 3.24-3.26
Ho: 0.0000 0.0000 0.0000  6 Sb 3.14-3.15
Sb: 0.9201 0.5910 0.7597  1 Ho 3.14, 2 Pm 3.18-3.19, 3 La 3.24-3.26
Pm: 0.6661 0.3339 0.0000  6 Sb 3.18-3.19
Sb: 0.7519 0.7519 0.2421  1 Ho 3.15, 2 Pm 3.19, 3 La 3.24-3.27
Sb: 0.5910 0.9201 0.7597  1 Ho 3.14, 2 Pm 3.18-3.19, 3 La 3.24-3.26

Values from the calculation:
The value obtained for the raw total energy is -5.682 eV per atom. As for the uncorrected formation energy: -14.58 eV/f.u. The crystal system is monoclinic. Its space group is C2/m, No. 12.

---

(8)
Nd3Mg2Pd4 after structural relaxation. Source: the Alexandria database, functional PBE.

Cell lengths 4.3623, 5.6159, 9.1866 Å; angles 94.92, 90.00, 112.85 degrees
Closest atoms and distances in Å follow each position.
Element x y z (fractional)
Nd: 0.0000 0.0000 0.0000  6 Pd 3.14-3.17
Mg: 0.3243 0.6486 0.2107  5 Pd 2.68-2.74
Nd: 0.6260 0.2521 0.3838  6 Pd 2.93-3.20
Pd: 0.0846 0.1691 0.6304  2 Mg 2.74, 1 Pd 2.83, 1 Nd 3.01
Pd: 0.7107 0.4214 0.0880  3 Mg 2.68-2.73, 2 Pd 2.88, 1 Nd 2.93
Pd: 0.2893 0.5786 0.9120  3 Mg 2.68-2.73, 2 Pd 2.88, 1 Nd 2.93
Nd: 0.3740 0.7479 0.6162  6 Pd 2.93-3.20
Mg: 0.6757 0.3514 0.7893  5 Pd 2.68-2.74
Pd: 0.9154 0.8309 0.3696  2 Mg 2.74, 1 Pd 2.83, 1 Nd 3.01

Values from the calculation:
The value obtained for the raw total energy is -4.951 eV per atom. The crystal system is monoclinic. As for the energy of formation from the pure elements: -0.700 eV per atom. Its space group is C2/m, No. 12.